(1)
Crystalline MoN at its relaxed geometry, computed with PBE-GGA.

Computed properties:
Its space group is P6_3/mmc (194). The electronic total energy comes out at -9.9449 eV/atom. As for the volume: 80.8 Å³/cell.

Cell lengths 2.8607, 2.8607, 11.4045 Å; angles 90.00, 90.00, 120.00 degrees
Fractional positions:
Mo: 0.0000 0.0000 0.0000
Mo: 0.0000 0.0000 0.2500
Mo: 0.0000 0.0000 0.5000
Mo: 0.0000 0.0000 0.7500
N: 0.3333 0.6667 0.1291
N: 0.3333 0.6667 0.3709
N: 0.6667 0.3333 0.6291
N: 0.6667 0.3333 0.8709



(2)
Crystalline Cs2GaAgCl6 at its relaxed geometry, computed with PBE-GGA.

Computed properties:
The polymorph energy (0 for the lowest one) comes out at 0.060 eV/atom. Its space group is P-31c (163). As for the volume: 663.4 Å³/cell.

Cell lengths 7.2652, 7.2652, 14.5126 Å; angles 90.00, 90.00, 120.00 degrees
Fractional positions:
Ag: 0.0000 0.0000 0.2500
Ag: 0.0000 0.0000 0.7500
Cl: 0.7253 0.0999 0.1496
Cl: 0.3746 0.2747 0.1496
Cl: 0.9001 0.6254 0.1496
Cl: 0.3746 0.0999 0.3504
Cl: 0.9001 0.2747 0.3504
Cl: 0.7253 0.6254 0.3504
Cl: 0.2747 0.3746 0.6496
Cl: 0.0999 0.7253 0.6496
Cl: 0.6254 0.9001 0.6496
Cl: 0.0999 0.3746 0.8504
Cl: 0.6254 0.7253 0.8504
Cl: 0.2747 0.9001 0.8504
Cs: 0.3333 0.6667 0.0555
Cs: 0.3333 0.6667 0.4445
Cs: 0.6667 0.3333 0.5555
Cs: 0.6667 0.3333 0.9445
Ga: 0.6667 0.3333 0.2500
Ga: 0.3333 0.6667 0.7500



(3)
Crystalline CoGe2Pd at its relaxed geometry, computed with PBE-GGA.

Computed properties:
The polymorph energy (0 for the lowest one) comes out at 0.000 eV/atom. Its space group is Cmcm (63). As for the volume: 119.0 Å³/cell.

Cell lengths 8.9142, 8.9142, 4.9037 Å; angles 90.00, 90.00, 162.22 degrees
Fractional positions:
Co: 0.0879 0.9121 0.2500
Co: 0.9121 0.0879 0.7500
Ge: 0.7042 0.2958 0.2500
Ge: 0.4723 0.5277 0.2500
Ge: 0.5277 0.4723 0.7500
Ge: 0.2958 0.7042 0.7500
Pd: 0.3359 0.6641 0.2500
Pd: 0.6641 0.3359 0.7500



(4)
Crystalline TmSnIr at its relaxed geometry, computed with PBE-GGA.

Computed properties:
Its space group is P6_3/mmc (194). The electronic total energy comes out at -6.5282 eV/atom. As for the volume: 123.3 Å³/cell.

Cell lengths 4.6741, 4.6741, 6.5167 Å; angles 90.00, 90.00, 120.00 degrees
Fractional positions:
Ir: 0.6667 0.3333 0.2500
Ir: 0.3333 0.6667 0.7500
Sn: 0.3333 0.6667 0.2500
Sn: 0.6667 0.3333 0.7500
Tm: 0.0000 0.0000 0.0000
Tm: 0.0000 0.0000 0.5000



(5)
Crystalline Pu3F2 at its relaxed geometry, computed with PBE-GGA.

Computed properties:
Its space group is R-3c (167). The electronic total energy comes out at -10.7548 eV/atom. As for the volume: 198.1 Å³/cell.

Cell lengths 6.4520, 6.4520, 6.6392 Å; angles 119.07, 60.93, 120.00 degrees
Site moments in Bohr magnetons follow the coordinates.
Fractional positions:
F: 0.3306 0.6694 0.0082  -0.01
F: 0.1694 0.8306 0.4918  -0.01
F: 0.8306 0.1694 0.5082  -0.01
F: 0.6694 0.3306 0.9918  -0.01
Pu: 0.6021 0.7500 0.2500  5.61
Pu: 0.2500 0.1021 0.2500  5.73
Pu: 0.8979 0.3979 0.2500  5.56
Pu: 0.1021 0.6021 0.7500  5.56
Pu: 0.7500 0.8979 0.7500  5.73
Pu: 0.3979 0.2500 0.7500  5.61



(6)
Crystalline TaNbCoB at its relaxed geometry, computed with PBE-GGA.

Computed properties:
The polymorph energy (0 for the lowest one) comes out at 0.000 eV/atom. Its space group is F-43m (216). As for the volume: 54.2 Å³/cell.

Cell lengths 4.2470, 4.2470, 4.2470 Å; angles 60.00, 60.00, 60.00 degrees
Site moments in Bohr magnetons follow the coordinates.
Fractional positions:
B: 0.0000 0.0000 0.0000  -0.01
Co: 0.7500 0.7500 0.7500  0.72
Nb: 0.2500 0.2500 0.2500  0.89
Ta: 0.5000 0.5000 0.5000  0.18